Record 1
! Dy2Be12Ni5, relaxed, DFT PBE-GGA; values from VASP
! Total magnetization ... 0.00 μB/f.u.
! ρ ... 5.77 Mg/m³
! Total energy ... -0.3401 Ry/atom
&SYSTEM
  ibrav = 0, nat = 19, ntyp = 3
/
ATOMIC_SPECIES
Dy 162.50 Dy.upf
Be 9.01 Be.upf
Ni 58.69 Ni.upf
CELL_PARAMETERS angstrom
-4.516 -1.305 -3.682
-2.494 -4.167 3.474
-4.005 3.604 2.573
ATOMIC_POSITIONS crystal
Dy 0.658 0.658 0.658
Dy 0.342 0.342 0.342
Be 0.275 0.725 0.000
Be 0.725 0.000 0.275
Be 0.000 0.275 0.725
Be 0.725 0.275 0.000
Be 0.275 0.000 0.725
Be 0.000 0.725 0.275
Be 0.334 0.334 0.852
Be 0.334 0.852 0.334
Be 0.852 0.334 0.334
Be 0.666 0.148 0.666
Be 0.666 0.666 0.148
Be 0.148 0.666 0.666
Ni 0.000 0.000 0.500
Ni 0.000 0.500 0.000
Ni 0.500 0.000 0.000
Ni 0.898 0.898 0.898
Ni 0.102 0.102 0.102


Record 2
! Ca2AuO, relaxed, DFT PBE-GGA; values from VASP
! Formation energy without anion corrections ... -1412 meV per atom
! Total magnetization ... 0.00 μB/f.u.
! ρ ... 6.73 Mg/m³
&SYSTEM
  ibrav = 0, nat = 4, ntyp = 3
/
ATOMIC_SPECIES
Ca 40.08 Ca.upf
Au 196.97 Au.upf
O 16.00 O.upf
CELL_PARAMETERS angstrom
-2.810 -0.942 1.043
-0.255 -1.952 -2.449
3.222 -5.303 3.891
ATOMIC_POSITIONS crystal
Ca 0.000 0.000 0.801
Ca 0.000 0.000 0.199
Au 0.500 0.500 0.500
O 0.500 0.500 0.000


Record 3
! CaCe2Ga2, relaxed, DFT PBE-GGA; values from VASP
! Total magnetization ... 1.89 μB/f.u.
! ρ ... 5.89 Mg/m³
! Total energy ... -0.3184 Ry/atom
&SYSTEM
  ibrav = 0, nat = 5, ntyp = 3
/
ATOMIC_SPECIES
Ca 40.08 Ca.upf
Ce 140.12 Ce.upf
Ga 69.72 Ga.upf
CELL_PARAMETERS angstrom
-3.321 -3.444 6.595
-4.266 -2.993 0.432
0.407 -4.897 1.798
ATOMIC_POSITIONS crystal
Ca 0.000 0.000 0.000
Ce 0.321 0.453 0.452
Ce 0.679 0.547 0.548
Ga 0.741 0.838 0.839
Ga 0.259 0.162 0.161